1.
Below is a geometry-optimized CeHo5Ru6 structure, with properties calculated at the GGA-PBE level.

Results
**DFT formation energy**: -38.3 kJ/mol of atoms
**Total magnetization**: 0.00 μB/atom
**Crystal system**: monoclinic
**DOS at the Fermi energy**: 8.44 states/eV/f.u.

Unit cell a=4.8158 b=6.8103 c=7.5420 alpha=90.00 beta=108.42 gamma=90.00
With the nearest neighbours (Å) after each atom.
Space group P2/m (No. 10)
Asymmetric unit:
Ce1 0.0000 0.0000 0.0000 [1 per cell]  8 Ru 2.86-2.92
Ho1 0.0000 0.5000 0.0000 [1 per cell]  8 Ru 2.90-2.98
Ho2 0.3306 0.0000 0.6609 [2 per cell]  8 Ru 2.93
Ho3 0.3330 0.5000 0.6654 [2 per cell]  8 Ru 2.97-3.00
Ru1 0.1615 0.2446 0.3240 [4 per cell]  1 Ce 2.86, 7 Ho 2.90-3.00
Ru2 0.5000 0.2419 0.0000 [2 per cell]  2 Ce 2.92, 6 Ho 2.93-2.98


2.
Below is a geometry-optimized CeHoRu structure, with properties calculated at the GGA-PBE level.

Results
**DFT formation energy**: -8.8 kJ/mol of atoms
**Total magnetization**: 0.02 μB/atom
**Crystal system**: trigonal
**DOS at the Fermi energy**: 4.40 states/eV/f.u.
**Offset from the most stable computed form**: 81.5 kJ/mol of formula units

Unit cell a=4.5164 b=4.5164 c=3.9901 alpha=90.00 beta=90.00 gamma=120.00
With the nearest neighbours (Å) after each atom.
Space group P3m1 (No. 156)
Asymmetric unit:
Ce1 0.0000 0.0000 0.0000 [1 per cell]  3 Ru 2.78
Ho1 0.3333 0.6667 0.4462 [1 per cell]  3 Ru 2.89, 3 Ce 3.16
Ru1 0.6667 0.3333 0.7587 [1 per cell]  3 Ce 2.78, 3 Ho 2.89


3.
Below is a geometry-optimized CeHoRu structure, with properties calculated at the GGA-PBE level.

Results
**DFT formation energy**: -27.6 kJ/mol of atoms
**Total magnetization**: 0.21 μB/atom
**Crystal system**: monoclinic
**DOS at the Fermi energy**: 4.26 states/eV/f.u.
**Offset from the most stable computed form**: 25.2 kJ/mol of formula units

Unit cell a=12.5160 b=3.6949 c=7.7484 alpha=90.00 beta=123.37 gamma=90.00
With the nearest neighbours (Å) after each atom.
Space group C2/m (No. 12)
Asymmetric unit:
Ce1 0.0965 0.0000 0.3963 [4 per cell]  2 Ru 2.61
Ho1 0.1597 0.5000 0.0593 [4 per cell]  3 Ru 2.92
Ru1 0.1361 0.5000 0.6635 [4 per cell]  2 Ce 2.61, 3 Ho 2.92, 1 Ru 2.92


4.
Below is a geometry-optimized Ce2Ho3Ru4 structure, with properties calculated at the GGA-PBE level.

Results
**DFT formation energy**: -31.3 kJ/mol of atoms
**Total magnetization**: 0.00 μB/atom
**Crystal system**: monoclinic
**DOS at the Fermi energy**: 5.18 states/eV/f.u.
**Offset from the most stable computed form**: 0.0 kJ/mol of formula units

Unit cell a=14.2530 b=10.0014 c=5.8888 alpha=90.00 beta=102.50 gamma=90.00
With the nearest neighbours (Å) after each atom.
Space group C2/c (No. 15)
Asymmetric unit:
Ce1 0.1879 0.1018 0.4632 [8 per cell]  2 Ru 2.40-2.56
Ho1 0.0000 0.1300 0.7500 [4 per cell]  4 Ru 2.80-2.92
Ho2 0.0954 0.3920 0.0983 [8 per cell]  6 Ru 2.95-3.20
Ru1 0.1244 0.3162 0.6148 [8 per cell]  1 Ce 2.56, 1 Ho 2.80
Ru2 0.2016 0.1371 0.9908 [8 per cell]  1 Ce 2.40, 1 Ru 2.64


5.
Below is a geometry-optimized CeHo2Ru2 structure, with properties calculated at the GGA-PBE level.

Results
**DFT formation energy**: -42.6 kJ/mol of atoms
**Total magnetization**: 0.00 μB/atom
**Crystal system**: orthorhombic
**DOS at the Fermi energy**: 2.93 states/eV/f.u.
**Offset from the most stable computed form**: 0.0 kJ/mol of formula units

Unit cell a=4.1803 b=5.9467 c=9.0929 alpha=90.00 beta=90.00 gamma=90.00
With the nearest neighbours (Å) after each atom.
Space group Immm (No. 71)
Asymmetric unit:
Ce1 0.0000 0.0000 0.0000 [2 per cell]  4 Ru 2.60
Ho1 0.0000 0.5000 0.1916 [4 per cell]  6 Ru 3.07-3.20
Ru1 0.0000 0.2399 0.5000 [4 per cell]  2 Ce 2.60, 1 Ru 2.85


6.
Below is a geometry-optimized Ce2Ho3Ru4 structure, with properties calculated at the GGA-PBE level.

Results
**DFT formation energy**: -27.3 kJ/mol of atoms
**Total magnetization**: 0.00 μB/atom
**Crystal system**: monoclinic
**DOS at the Fermi energy**: 6.25 states/eV/f.u.
**Offset from the most stable computed form**: 36.3 kJ/mol of formula units

Unit cell a=14.7678 b=9.1554 c=5.8826 alpha=90.00 beta=96.56 gamma=90.00
With the nearest neighbours (Å) after each atom.
Space group C2/c (No. 15)
Asymmetric unit:
Ce1 0.2036 0.1092 0.0760 [8 per cell]  2 Ru 2.35-2.62
Ho1 0.0000 0.0705 0.2500 [4 per cell]  4 Ru 2.97-3.28, 2 Ho 3.21, 2 Ce 3.30
Ho2 0.0990 0.3990 0.4184 [8 per cell]  3 Ru 2.78-3.03
Ru1 0.0660 0.2740 0.9119 [8 per cell]  1 Ru 2.56, 1 Ce 2.62
Ru2 0.1872 0.1461 0.5841 [8 per cell]  1 Ce 2.35


7.
Below is a geometry-optimized CeHo3Ru3 structure, with properties calculated at the GGA-PBE level.

Results
**DFT formation energy**: -31.3 kJ/mol of atoms
**Total magnetization**: 0.00 μB/atom
**Crystal system**: monoclinic
**DOS at the Fermi energy**: 4.90 states/eV/f.u.
**Offset from the most stable computed form**: 67.5 kJ/mol of formula units

Unit cell a=9.6673 b=9.6848 c=6.7480 alpha=90.00 beta=91.58 gamma=90.00
With the nearest neighbours (Å) after each atom.
Space group C2/m (No. 12)
Asymmetric unit:
Ce1 0.2339 0.0000 0.1039 [4 per cell]  3 Ru 2.52-2.57
Ho1 0.0000 0.1841 0.5000 [4 per cell]  6 Ru 2.81-3.04
Ho2 0.0000 0.2697 0.0000 [4 per cell]  6 Ru 2.96-3.00
Ho3 0.1830 0.5000 0.4145 [4 per cell]  3 Ru 2.80-2.87
Ru1 0.0687 0.0000 0.8089 [4 per cell]  1 Ce 2.52, 2 Ho 2.81
Ru2 0.2475 0.2566 0.7455 [8 per cell]  1 Ce 2.57, 1 Ho 2.80


8.
Below is a geometry-optimized CeHo4Ru4 structure, with properties calculated at the GGA-PBE level.

Results
**DFT formation energy**: -22.6 kJ/mol of atoms
**Total magnetization**: 0.00 μB/atom
**Crystal system**: tetragonal
**DOS at the Fermi energy**: 5.40 states/eV/f.u.

Unit cell a=8.5992 b=8.5992 c=5.6621 alpha=90.00 beta=90.00 gamma=90.00
With the nearest neighbours (Å) after each atom.
Space group P4_2/n (No. 86, origin choice 2)
Asymmetric unit:
Ce1 0.2500 0.2500 0.2500 [2 per cell]  4 Ru 2.47
Ho1 0.0610 0.6799 0.1351 [8 per cell]  5 Ru 2.84-3.09
Ru1 0.0027 0.3700 0.3773 [8 per cell]  1 Ce 2.47, 1 Ru 2.63


9.
Below is a geometry-optimized CeHoTlRu structure, with properties calculated at the GGA-PBE level.

Results
**DFT formation energy**: -15.8 kJ/mol of atoms
**Total magnetization**: 0.14 μB/atom
**Crystal system**: cubic
**DOS at the Fermi energy**: 5.90 states/eV/f.u.
**Offset from the most stable computed form**: 84.6 kJ/mol of formula units

Unit cell a=7.2626 b=7.2626 c=7.2626 alpha=90.00 beta=90.00 gamma=90.00
With the nearest neighbours (Å) after each atom.
Space group F-43m (No. 216)
Asymmetric unit:
Ce1 0.0000 0.0000 0.0000 [4 per cell]  4 Tl 3.14, 4 Ru 3.14
Ho1 0.0000 0.0000 0.5000 [4 per cell]  4 Tl 3.14, 4 Ru 3.14
Tl1 0.2500 0.2500 0.2500 [4 per cell]  4 Ho 3.14, 4 Ce 3.14
Ru1 0.2500 0.2500 0.7500 [4 per cell]  4 Ce 3.14, 4 Ho 3.14


10.
Below is a geometry-optimized CeHoTlRu structure, with properties calculated at the GGA-PBE level.

Results
**DFT formation energy**: -36.9 kJ/mol of atoms
**Total magnetization**: 0.12 μB/atom
**Crystal system**: tetragonal
**DOS at the Fermi energy**: 3.73 states/eV/f.u.
**Offset from the most stable computed form**: 0.0 kJ/mol of formula units

Unit cell a=3.3842 b=3.3842 c=8.3895 alpha=90.00 beta=90.00 gamma=90.00
With the nearest neighbours (Å) after each atom.
Space group P4mm (No. 99)
Asymmetric unit:
Ce1 0.0000 0.0000 0.0000 [1 per cell]  4 Ru 2.95
Ho1 0.0000 0.0000 0.5914 [1 per cell]  4 Ru 2.94
Tl1 0.5000 0.5000 0.3027 [1 per cell]  4 Tl 3.38, 4 Ho 3.40, 4 Ce 3.49
Ru1 0.5000 0.5000 0.7941 [1 per cell]  4 Ho 2.94, 4 Ce 2.95